# 1
Computed, not measured: a relaxed structure of CeCd at the PBE level of DFT.

The space group is P4/mmm (No. 123) and the conventional cell measures 4.008, 4.008 and 3.479 Å, with angles of 90.00, 90.00 and 90.00 degrees. The distinct sites, in fractional coordinates, are Ce at (0.000, 0.000, 0.000) and Cd at (0.500, 0.500, 0.500).

The calculation puts the energy of formation from the pure elements at -2.647 kcal/mol of atoms. As for the size of the total moment: 0.661 μB/atom. The value obtained for the density of states at the Fermi level is 3.575 states/eV per atom. The calculation puts the total energy at -3.54 eV/atom.

# 2
Computed, not measured: a relaxed structure of Tb6Er2Cd at the PBE level of DFT.

The space group is C2/c (No. 15) and the conventional cell measures 14.777, 8.536 and 9.003 Å, with angles of 90.00, 98.69 and 90.00 degrees. The distinct sites, in fractional coordinates, are Tb at (0.085, 0.189, 0.125), Tb at (0.112, 0.445, 0.834), Tb at (0.141, 0.231, 0.524), Er at (0.222, 0.085, 0.857) and Cd at (0.000, 0.122, 0.750).

The calculation puts the energy of formation from the pure elements at 2.155 kcal/mol of atoms. As for the size of the total moment: 0.000 μB/atom. The value obtained for the density of states at the Fermi level is 1.539 states/eV per atom. The calculation puts the total energy at -4.11 eV/atom. The value obtained for the distance to the lowest polymorph of the same formula is 108.4 meV/atom.

# 3
Computed, not measured: a relaxed structure of Al2AgMo at the PBE level of DFT.

The space group is C2/m (No. 12) and the conventional cell measures 8.899, 2.781 and 5.299 Å, with angles of 90.00, 99.67 and 90.00 degrees. The distinct sites, in fractional coordinates, are Al at (0.250, 0.000, 0.232), Ag at (0.000, 0.000, 0.500) and Mo at (0.000, 0.500, 0.000).

The calculation puts the energy of formation from the pure elements at 0.505 kcal/mol of atoms. As for the size of the total moment: 0.000 μB/atom. The value obtained for the density of states at the Fermi level is 0.333 states/eV per atom. The calculation puts the total energy at -5.27 eV/atom. The value obtained for the distance to the lowest polymorph of the same formula is 128.7 meV/atom.

# 4
Computed, not measured: a relaxed structure of Y3RhSe2 at the PBE level of DFT.

The space group is Immm (No. 71) and the conventional cell measures 3.974, 5.838 and 12.653 Å, with angles of 90.00, 90.00 and 90.00 degrees. The distinct sites, in fractional coordinates, are Y at (0.000, 0.000, 0.000), Y at (0.000, 0.000, 0.349), Rh at (0.000, 0.500, 0.000) and Se at (0.000, 0.500, 0.328).

As for the size of the total moment: 0.002 μB/atom. The value obtained for the density of states at the Fermi level is 0.917 states/eV per atom. The calculation puts the total energy at -7.02 eV/atom.

# 5
Computed, not measured: a relaxed structure of ZrBe2RhSe at the PBE level of DFT.

The space group is P4/mmm (No. 123) and the conventional cell measures 4.576, 4.576 and 4.945 Å, with angles of 90.00, 90.00 and 90.00 degrees. The distinct sites, in fractional coordinates, are Zr at (0.000, 0.000, 0.000), Be at (0.000, 0.500, 0.000), Rh at (0.500, 0.500, 0.500) and Se at (0.000, 0.000, 0.500).

As for the size of the total moment: 0.077 μB/atom. The value obtained for the density of states at the Fermi level is 0.624 states/eV per atom. The calculation puts the total energy at -4.09 eV/atom.

# 6
Computed, not measured: a relaxed structure of K2Te at the PBE level of DFT.

The space group is I4/mmm (No. 139) and the conventional cell measures 4.761, 4.761 and 10.273 Å, with angles of 90.00, 90.00 and 90.00 degrees. The distinct sites, in fractional coordinates, are K at (0.000, 0.000, 0.154) and Te at (0.000, 0.000, 0.500).

As for the size of the total moment: 0.000 μB/atom. The calculation puts the total energy at -2.68 eV/atom.